[1]
Compound: SrTiRuBr2
Source: Alexandria
Functional: PBE
Structure: relaxed

a = 5.178 Å, b = 5.178 Å, c = 4.664 Å
α = 90.00°, β = 90.00°, γ = 90.00°
Positions (direct):
Sr (0.000, 0.000, 0.000)
Ti (0.500, 0.500, 0.500)
Ru (0.500, 0.500, 0.000)
Br (0.000, 0.500, 0.500)
Br (0.500, 0.000, 0.500)

Properties
* E_form (uncorrected): -0.291 eV per atom
* space group: No. 123


[2]
Compound: SrTlRuBr2
Source: Alexandria
Functional: PBE
Structure: relaxed

a = 5.212 Å, b = 5.212 Å, c = 5.461 Å
α = 90.00°, β = 90.00°, γ = 90.00°
Positions (direct):
Sr (0.000, 0.000, 0.000)
Tl (0.500, 0.500, 0.000)
Ru (0.000, 0.000, 0.500)
Br (0.000, 0.500, 0.500)
Br (0.500, 0.000, 0.500)

Properties
* E_form (uncorrected): -0.040 eV per atom
* space group: No. 123


[3]
Compound: Ta2RuBr
Source: Alexandria
Functional: PBE
Structure: relaxed

a = 3.004 Å, b = 3.004 Å, c = 9.114 Å
α = 90.00°, β = 90.00°, γ = 113.41°
Positions (direct):
Ta (0.000, 0.000, 0.000)
Ta (0.500, 0.500, 0.256)
Ru (0.500, 0.500, 0.792)
Br (0.000, 0.000, 0.488)

Properties
* E_form (uncorrected): 0.264 eV per atom
* space group: No. 35


[4]
Compound: TaRuBr2
Source: Alexandria
Functional: PBE
Structure: relaxed

a = 8.926 Å, b = 8.926 Å, c = 8.926 Å
α = 20.51°, β = 20.51°, γ = 20.51°
Positions (direct):
Ta (0.000, 0.000, 0.000)
Ru (0.500, 0.500, 0.500)
Br (0.408, 0.408, 0.408)
Br (0.592, 0.592, 0.592)

Properties
* E_form (uncorrected): 0.523 eV per atom
* space group: No. 166


[5]
Compound: TaRu2Br
Source: Alexandria
Functional: PBE
Structure: relaxed

a = 2.995 Å, b = 4.107 Å, c = 5.596 Å
α = 90.00°, β = 104.05°, γ = 90.00°
Positions (direct):
Ta (0.000, 0.000, 0.000)
Ru (0.530, 0.500, 0.774)
Ru (0.884, 0.000, 0.541)
Br (0.595, 0.500, 0.297)

Properties
* E_form (uncorrected): 0.505 eV per atom
* space group: No. 6


[6]
Compound: TaRuBr2
Source: Alexandria
Functional: PBE
Structure: relaxed

a = 3.141 Å, b = 3.141 Å, c = 8.987 Å
α = 90.00°, β = 90.00°, γ = 90.00°
Positions (direct):
Ta (0.000, 0.000, 0.000)
Ru (0.500, 0.500, 0.837)
Br (0.000, 0.000, 0.616)
Br (0.500, 0.500, 0.216)

Properties
* E_form (uncorrected): 0.009 eV per atom
* space group: No. 99


[7]
Compound: Ta2RuBr
Source: Alexandria
Functional: PBE
Structure: relaxed

a = 5.427 Å, b = 5.427 Å, c = 5.427 Å
α = 138.62°, β = 138.62°, γ = 59.96°
Positions (direct):
Ta (0.000, 0.000, 0.000)
Ta (0.750, 0.250, 0.500)
Ru (0.500, 0.500, 0.000)
Br (0.250, 0.750, 0.500)

Properties
* E_form (uncorrected): 0.725 eV per atom
* space group: No. 119


[8]
Compound: Ta2RuBr
Source: Alexandria
Functional: PBE
Structure: relaxed

a = 4.590 Å, b = 4.590 Å, c = 4.590 Å
α = 60.00°, β = 60.00°, γ = 60.00°
Positions (direct):
Ta (0.250, 0.250, 0.250)
Ta (0.750, 0.750, 0.750)
Ru (0.000, 0.000, 0.000)
Br (0.500, 0.500, 0.500)

Properties
* E_form (uncorrected): 0.565 eV per atom
* space group: No. 225


[9]
Compound: TaRuBr2
Source: Alexandria
Functional: PBE
Structure: relaxed

a = 3.661 Å, b = 3.661 Å, c = 9.597 Å
α = 104.47°, β = 104.47°, γ = 53.01°
Positions (direct):
Ta (0.000, 0.000, 0.000)
Ru (0.789, 0.789, 0.160)
Br (0.329, 0.329, 0.777)
Br (0.463, 0.463, 0.378)

Properties
* E_form (uncorrected): -0.241 eV per atom
* space group: No. 8


[10]
Compound: Ta2RuBr
Source: Alexandria
Functional: PBE
Structure: relaxed

a = 3.152 Å, b = 4.588 Å, c = 4.753 Å
α = 90.00°, β = 90.00°, γ = 90.00°
Positions (direct):
Ta (0.000, 0.000, 0.000)
Ta (0.500, 0.000, 0.500)
Ru (0.000, 0.500, 0.500)
Br (0.500, 0.500, 0.000)

Properties
* E_form (uncorrected): 0.584 eV per atom
* space group: No. 47


[11]
Compound: TaRuBr2
Source: Alexandria
Functional: PBE
Structure: relaxed

a = 7.757 Å, b = 7.757 Å, c = 4.091 Å
α = 94.35°, β = 94.35°, γ = 24.58°
Positions (direct):
Ta (0.000, 0.000, 0.000)
Ru (0.500, 0.500, 0.500)
Br (0.358, 0.358, 0.787)
Br (0.642, 0.642, 0.213)

Properties
* E_form (uncorrected): -0.030 eV per atom
* space group: No. 12


[12]
Compound: TaRuBr4
Source: Alexandria
Functional: PBE
Structure: relaxed

a = 5.940 Å, b = 5.940 Å, c = 5.940 Å
α = 60.00°, β = 60.00°, γ = 60.00°
Positions (direct):
Ta (0.000, 0.000, 0.000)
Ru (0.250, 0.250, 0.250)
Br (0.126, 0.625, 0.625)
Br (0.625, 0.126, 0.625)
Br (0.625, 0.625, 0.126)
Br (0.625, 0.625, 0.625)

Properties
* E_form (uncorrected): 1.745 eV per atom
* space group: No. 216


[13]
Compound: TaRuBr
Source: Alexandria
Functional: PBE
Structure: relaxed

a = 6.515 Å, b = 6.515 Å, c = 6.515 Å
α = 152.24°, β = 152.24°, γ = 39.66°
Positions (direct):
Ta (0.000, 0.000, 0.000)
Ru (0.612, 0.612, 0.000)
Br (0.336, 0.336, 0.000)

Properties
* E_form (uncorrected): 0.150 eV per atom
* space group: No. 107


[14]
Compound: TaRuBr
Source: Alexandria
Functional: PBE
Structure: relaxed

a = 4.395 Å, b = 4.395 Å, c = 4.395 Å
α = 60.00°, β = 60.00°, γ = 60.00°
Positions (direct):
Ta (0.000, 0.000, 0.000)
Ru (0.750, 0.750, 0.750)
Br (0.500, 0.500, 0.500)

Properties
* E_form (uncorrected): 0.708 eV per atom
* space group: No. 216


[15]
Compound: Ta2RuBr
Source: Alexandria
Functional: PBE
Structure: relaxed

a = 5.003 Å, b = 5.003 Å, c = 3.015 Å
α = 98.34°, β = 98.34°, γ = 109.71°
Positions (direct):
Ta (0.000, 0.500, 0.000)
Ta (0.500, 0.000, 0.000)
Ru (0.000, 0.000, 0.500)
Br (0.500, 0.500, 0.500)

Properties
* E_form (uncorrected): 0.505 eV per atom
* space group: No. 12


[16]
Compound: TaRu2Br
Source: Alexandria
Functional: PBE
Structure: relaxed

a = 6.957 Å, b = 6.957 Å, c = 6.957 Å
α = 132.11°, β = 132.11°, γ = 70.05°
Positions (direct):
Ta (0.000, 0.000, 0.000)
Ta (0.750, 0.250, 0.500)
Ru (0.127, 0.625, 0.002)
Ru (0.375, 0.377, 0.502)
Ru (0.623, 0.125, 0.998)
Ru (0.875, 0.873, 0.498)
Br (0.250, 0.750, 0.500)
Br (0.500, 0.500, 0.000)

Properties
* E_form (uncorrected): 0.842 eV per atom
* space group: No. 122


[17]
Compound: Ta2RuBr
Source: Alexandria
Functional: PBE
Structure: relaxed

a = 3.204 Å, b = 3.179 Å, c = 7.821 Å
α = 90.00°, β = 90.36°, γ = 90.00°
Positions (direct):
Ta (0.000, 0.000, 0.000)
Ta (0.496, 0.500, 0.768)
Ru (0.503, 0.500, 0.169)
Br (0.486, 0.000, 0.493)

Properties
* E_form (uncorrected): 0.039 eV per atom
* space group: No. 6


[18]
Compound: Ta2RuBr
Source: Alexandria
Functional: PBE
Structure: relaxed

a = 4.772 Å, b = 4.772 Å, c = 2.970 Å
α = 90.00°, β = 90.00°, γ = 90.00°
Positions (direct):
Ta (0.000, 0.500, 0.000)
Ta (0.500, 0.000, 0.000)
Ru (0.000, 0.000, 0.500)
Br (0.500, 0.500, 0.500)

Properties
* E_form (uncorrected): 0.452 eV per atom
* space group: No. 123


[19]
Compound: TaRu2Br
Source: Alexandria
Functional: PBE
Structure: relaxed

a = 4.633 Å, b = 4.633 Å, c = 3.058 Å
α = 90.00°, β = 90.00°, γ = 98.73°
Positions (direct):
Ta (0.000, 0.000, 0.000)
Ru (0.000, 0.500, 0.500)
Ru (0.500, 0.000, 0.500)
Br (0.500, 0.500, 0.000)

Properties
* E_form (uncorrected): 0.586 eV per atom
* space group: No. 65


[20]
Compound: TaRuBr2
Source: Alexandria
Functional: PBE
Structure: relaxed

a = 3.268 Å, b = 3.268 Å, c = 6.432 Å
α = 90.00°, β = 90.00°, γ = 90.00°
Positions (direct):
Ta (0.000, 0.000, 0.000)
Ru (0.000, 0.000, 0.500)
Br (0.500, 0.500, 0.246)
Br (0.500, 0.500, 0.754)

Properties
* E_form (uncorrected): 0.844 eV per atom
* space group: No. 123